{
  "formula": "Rb2MgAgBi",
  "functional": "PBE",
  "state": "relaxed",
  "lattice_angstrom": [[-4.836, 2.660, 3.398], [-1.927, -4.774, 0.994], [3.598, -0.332, 5.380]],
  "species": ["Mg", "Rb", "Rb", "Bi", "Ag"],
  "fractional_positions": [[0.000, 0.500, 0.000], [0.000, 0.000, 0.500], [0.500, 0.000, 0.000], [0.500, 0.500, 0.500], [0.000, 0.000, 0.000]],
  "mass_density_g_cm3": 3.861,
  "formation_energy_ev_per_atom": 0.169,
  "de_polymorph_mev_per_atom": 0,
  "spacegroup": "P4/mmm, No. 123",
  "vol_a3_per_cell": 220,
  "total_energy_ev_per_atom": -1.88,
  "magmom_total_mub_per_cell": 0.0
}


{
  "formula": "Rb2MgAgBi",
  "functional": "PBE",
  "state": "relaxed",
  "lattice_angstrom": [[7.224, 0.000, 0.000], [0.000, 7.224, 0.000], [0.000, 0.000, 5.232]],
  "species": ["Mg", "Rb", "Rb", "Bi", "Ag"],
  "fractional_positions": [[0.000, 0.000, 0.000], [0.000, 0.500, 0.000], [0.500, 0.000, 0.000], [0.000, 0.000, 0.500], [0.500, 0.500, 0.500]],
  "mass_density_g_cm3": 3.114,
  "formation_energy_ev_per_atom": 0.226,
  "de_polymorph_mev_per_atom": 57,
  "spacegroup": "P4/mmm, No. 123",
  "vol_a3_per_cell": 273,
  "total_energy_ev_per_atom": -1.83,
  "magmom_total_mub_per_cell": 0.0
}


{
  "formula": "MgAgBiRh",
  "functional": "PBE",
  "state": "relaxed",
  "lattice_angstrom": [[-3.777, 1.378, 2.602], [-4.417, -0.351, -1.818], [-3.045, -3.272, 1.721]],
  "species": ["Mg", "Rh", "Bi", "Ag"],
  "fractional_positions": [[0.500, 0.500, 0.500], [0.750, 0.750, 0.750], [0.000, 0.000, 0.000], [0.250, 0.250, 0.250]],
  "mass_density_g_cm3": 9.493,
  "formation_energy_ev_per_atom": -0.118,
  "spacegroup": "F-43m, No. 216",
  "vol_a3_per_cell": 78,
  "total_energy_ev_per_atom": -4.04,
  "magmom_total_mub_per_cell": 0.0
}


{
  "formula": "Mg2AgBiRh",
  "functional": "PBE",
  "state": "relaxed",
  "lattice_angstrom": [[5.396, 0.000, 0.000], [0.000, 5.052, 0.000], [0.000, 0.000, 5.396]],
  "species": ["Mg", "Mg", "Rh", "Bi", "Ag"],
  "fractional_positions": [[0.000, 0.000, 0.500], [0.500, 0.000, 0.000], [0.000, 0.500, 0.000], [0.000, 0.000, 0.000], [0.500, 0.500, 0.500]],
  "mass_density_g_cm3": 5.288,
  "formation_energy_ev_per_atom": 0.718,
  "spacegroup": "P4/mmm, No. 123",
  "vol_a3_per_cell": 147,
  "total_energy_ev_per_atom": -2.74,
  "magmom_total_mub_per_cell": 0.0
}


{
  "formula": "Mg5AgBi2Rh2",
  "functional": "PBE",
  "state": "relaxed",
  "lattice_angstrom": [[-1.220, -2.280, 2.195], [-4.683, -5.537, -8.355], [9.200, -6.034, -1.157]],
  "species": ["Mg", "Mg", "Mg", "Mg", "Mg", "Mg", "Mg", "Mg", "Mg", "Mg", "Ag", "Ag", "Bi", "Bi", "Bi", "Bi", "Rh", "Rh", "Rh", "Rh"],
  "fractional_positions": [[0.500, 0.206, 0.055], [0.500, 0.794, 0.945], [0.500, 0.055, 0.794], [0.500, 0.706, 0.445], [0.500, 0.945, 0.206], [0.500, 0.294, 0.555], [0.500, 0.555, 0.706], [0.500, 0.445, 0.294], [0.500, 0.500, 0.000], [0.500, 0.000, 0.500], [0.000, 0.000, 0.000], [0.000, 0.500, 0.500], [0.000, 0.679, 0.179], [0.000, 0.321, 0.821], [0.000, 0.179, 0.321], [0.000, 0.821, 0.679], [0.000, 0.130, 0.630], [0.000, 0.870, 0.370], [0.000, 0.630, 0.870], [0.000, 0.370, 0.130]],
  "mass_density_g_cm3": 6.825,
  "formation_energy_ev_per_atom": -0.246,
  "spacegroup": "P4/mbm, No. 127",
  "vol_a3_per_cell": 415,
  "total_energy_ev_per_atom": -3.58,
  "magmom_total_mub_per_cell": 0.0
}


{
  "formula": "MgScAgBi2",
  "functional": "PBE",
  "state": "relaxed",
  "lattice_angstrom": [[-3.563, 4.233, 0.670], [-3.548, -3.160, 1.092], [1.382, 0.311, 5.390]],
  "species": ["Sc", "Mg", "Bi", "Bi", "Ag"],
  "fractional_positions": [[0.500, 0.500, 0.500], [0.000, 0.500, 0.000], [0.000, 0.000, 0.500], [0.500, 0.000, 0.000], [0.000, 0.000, 0.000]],
  "mass_density_g_cm3": 6.526,
  "formation_energy_ev_per_atom": 0.343,
  "spacegroup": "P4/mmm, No. 123",
  "vol_a3_per_cell": 151,
  "total_energy_ev_per_atom": -3.36,
  "magmom_total_mub_per_cell": 0.0
}


{
  "formula": "SmMgAgBi",
  "functional": "PBE",
  "state": "relaxed",
  "lattice_angstrom": [[-4.519, 2.699, -0.319], [-2.913, -0.246, -4.389], [-4.610, -2.561, 0.035]],
  "species": ["Ag", "Mg", "Bi", "Sm"],
  "fractional_positions": [[0.250, 0.250, 0.250], [0.500, 0.500, 0.500], [0.750, 0.750, 0.750], [0.000, 0.000, 0.000]],
  "mass_density_g_cm3": 7.871,
  "formation_energy_ev_per_atom": -0.283,
  "spacegroup": "F-43m, No. 216",
  "vol_a3_per_cell": 104,
  "total_energy_ev_per_atom": -3.54,
  "magmom_total_mub_per_cell": 0.0
}


{
  "formula": "MgAgSnBi",
  "functional": "PBE",
  "state": "relaxed",
  "lattice_angstrom": [[-0.019, -0.758, 5.141], [-0.125, -4.830, 1.913], [4.194, -1.973, 2.351]],
  "species": ["Mg", "Bi", "Ag", "Sn"],
  "fractional_positions": [[0.000, 0.000, 0.000], [0.750, 0.750, 0.750], [0.500, 0.500, 0.500], [0.250, 0.250, 0.250]],
  "mass_density_g_cm3": 7.696,
  "formation_energy_ev_per_atom": 0.041,
  "spacegroup": "F-43m, No. 216",
  "vol_a3_per_cell": 99,
  "total_energy_ev_per_atom": -3.04,
  "magmom_total_mub_per_cell": 0.0
}


{
  "formula": "Mg2Ag7Sn2Bi",
  "functional": "PBE",
  "state": "relaxed",
  "lattice_angstrom": [[4.357, -0.124, 0.318], [-0.118, 4.357, 0.318], [3.218, 3.215, 13.860]],
  "species": ["Mg", "Mg", "Ag", "Ag", "Ag", "Ag", "Ag", "Ag", "Ag", "Sn", "Sn", "Bi"],
  "fractional_positions": [[0.817, 0.817, 0.684], [0.183, 0.183, 0.316], [0.500, 0.500, 0.000], [0.243, 0.243, 0.500], [0.757, 0.757, 0.500], [0.832, 0.331, 0.168], [0.331, 0.832, 0.168], [0.669, 0.168, 0.832], [0.168, 0.669, 0.832], [0.681, 0.681, 0.318], [0.319, 0.319, 0.682], [0.000, 0.000, 0.000]],
  "mass_density_g_cm3": 8.181,
  "formation_energy_ev_per_atom": -0.018,
  "spacegroup": "C2/m, No. 12",
  "vol_a3_per_cell": 254,
  "total_energy_ev_per_atom": -2.94,
  "magmom_total_mub_per_cell": 0.0
}


{
  "formula": "TbMgAgBi",
  "functional": "PBE",
  "state": "relaxed",
  "lattice_angstrom": [[-1.456, 2.946, -4.063], [2.709, -0.185, -4.465], [-2.091, -2.238, -4.234]],
  "species": ["Mg", "Tb", "Bi", "Ag"],
  "fractional_positions": [[0.250, 0.250, 0.250], [0.750, 0.750, 0.750], [0.000, 0.000, 0.000], [0.500, 0.500, 0.500]],
  "mass_density_g_cm3": 8.228,
  "formation_energy_ev_per_atom": -0.266,
  "spacegroup": "F-43m, No. 216",
  "vol_a3_per_cell": 101,
  "total_energy_ev_per_atom": -3.50,
  "magmom_total_mub_per_cell": 0.0
}


{
  "formula": "MgTlAgBi",
  "functional": "PBE",
  "state": "relaxed",
  "lattice_angstrom": [[5.240, 0.000, 0.000], [2.620, 4.538, 0.000], [2.620, 1.513, 4.279]],
  "species": ["Mg", "Tl", "Bi", "Ag"],
  "fractional_positions": [[0.750, 0.750, 0.750], [0.500, 0.500, 0.500], [0.000, 0.000, 0.000], [0.250, 0.250, 0.250]],
  "mass_density_g_cm3": 8.903,
  "formation_energy_ev_per_atom": -0.006,
  "spacegroup": "F-43m, No. 216",
  "vol_a3_per_cell": 102,
  "total_energy_ev_per_atom": -2.68,
  "magmom_total_mub_per_cell": 0.0
}


{
  "formula": "TmMgAgBi",
  "functional": "PBE",
  "state": "relaxed",
  "lattice_angstrom": [[5.180, 0.000, 0.000], [2.590, 4.486, 0.000], [2.590, 1.495, 4.229]],
  "species": ["Mg", "Tm", "Bi", "Ag"],
  "fractional_positions": [[0.500, 0.500, 0.500], [0.000, 0.000, 0.000], [0.750, 0.750, 0.750], [0.250, 0.250, 0.250]],
  "mass_density_g_cm3": 8.619,
  "formation_energy_ev_per_atom": -0.227,
  "spacegroup": "F-43m, No. 216",
  "vol_a3_per_cell": 98,
  "total_energy_ev_per_atom": -3.43,
  "magmom_total_mub_per_cell": 0.0
}